Density functional theory data (PBE) for crystalline Cr2FeSn2 at its relaxed geometry.

a b c (Å): 6.1824 6.1824 4.1921
angles (deg): 90.00 90.00 90.00
Space group P4/mbm (No. 127)
Inequivalent atoms, fractional coordinates:
Cr 0.1286 0.3714 0.0000
Fe 0.0000 0.0000 0.0000
Sn 0.1795 0.6795 0.5000

Computed properties:
The value obtained for the offset from the most stable computed form is 0 meV/atom. As for the density: 8.23 g/cm3. As for the calculated formation energy: 0.51 eV/atom. The crystal system is tetragonal. The calculation puts the volume at 160.2 Å³/cell. As for the final energy: -6.631 eV/atom.

Density functional theory data (PBE) for crystalline CrFe2Sn at its relaxed geometry.

a b c (Å): 6.6038 6.6038 5.3262
angles (deg): 90.00 90.00 90.00
Space group I-42d (No. 122)
Inequivalent atoms, fractional coordinates:
Cr 0.0000 0.0000 0.0000
Fe 0.1850 0.2500 0.1250
Sn 0.0000 0.0000 0.5000

Computed properties:
As for the density: 8.08 g/cm3. As for the calculated formation energy: 0.61 eV/atom. The crystal system is tetragonal. The calculation puts the volume at 232.3 Å³/cell. As for the final energy: -7.030 eV/atom.

Density functional theory data (PBE) for crystalline VCr2FeSn at its relaxed geometry.

a b c (Å): 4.6268 4.6268 4.4713
angles (deg): 90.00 90.00 90.00
Space group P4/mmm (No. 123)
Inequivalent atoms, fractional coordinates:
V 0.0000 0.0000 0.0000
Cr 0.0000 0.5000 0.5000
Fe 0.5000 0.5000 0.0000
Sn 0.5000 0.5000 0.5000

Computed properties:
As for the density: 5.72 g/cm3. As for the calculated formation energy: 2.25 eV/atom. The crystal system is tetragonal. The calculation puts the volume at 95.7 Å³/cell. As for the final energy: -5.915 eV/atom.